Entry 1:
{
  "formula": "LiPtBr2",
  "functional": "PBE",
  "state": "relaxed",
  "spacegroup": "F-43m",
  "e_tot_ev_per_atom": -2.5265,
  "lattice": [[0.0000, 3.4636, 3.4636], [3.4636, 0.0000, 3.4636], [3.4636, 3.4636, 0.0000]],
  "species": ["Li", "Pt", "Br", "Br"],
  "fractional_positions": [[0.0000, 0.0000, 0.0000], [0.2500, 0.2500, 0.2500], [0.5000, 0.5000, 0.5000], [0.7500, 0.7500, 0.7500]]
}


Entry 2:
{
  "formula": "LiPtBr",
  "functional": "PBE",
  "state": "relaxed",
  "spacegroup": "C2/m",
  "e_tot_ev_per_atom": -3.7855,
  "lattice": [[4.2402, -1.8442, 0.0000], [4.2402, 1.8442, 0.0000], [-0.3157, 0.0000, 8.2074]],
  "species": ["Li", "Li", "Pt", "Pt", "Br", "Br"],
  "fractional_positions": [[0.0000, 0.0000, 0.0000], [0.5000, 0.5000, 0.5000], [0.2183, 0.2183, 0.3941], [0.7817, 0.7817, 0.6059], [0.3245, 0.3245, 0.8271], [0.6755, 0.6755, 0.1729]]
}


Entry 3:
{
  "formula": "LiPtBr3",
  "functional": "PBE",
  "state": "relaxed",
  "spacegroup": "Pm-3m",
  "e_tot_ev_per_atom": -3.0293,
  "lattice": [[5.1983, 0.0000, 0.0000], [0.0000, 5.1983, 0.0000], [0.0000, 0.0000, 5.1983]],
  "species": ["Li", "Pt", "Br", "Br", "Br"],
  "fractional_positions": [[0.0000, 0.0000, 0.0000], [0.5000, 0.5000, 0.5000], [0.0000, 0.5000, 0.5000], [0.5000, 0.0000, 0.5000], [0.5000, 0.5000, 0.0000]]
}